First-principles (PBE-GGA) data for a geometry-optimized Ti2CrCu2 structure, as listed in Alexandria. Values from VASP.

```
&SYSTEM
  ibrav = 0, nat = 10, ntyp = 3
/
ATOMIC_SPECIES
Ti 47.87 Ti.upf
Cr 52.00 Cr.upf
Cu 63.55 Cu.upf
ATOMIC_POSITIONS crystal
Ti 0.180 0.320 0.000
Ti 0.320 0.820 0.000
Ti 0.680 0.180 0.000
Ti 0.820 0.680 0.000
Cr 0.000 0.000 0.500
Cr 0.500 0.500 0.500
Cu 0.121 0.621 0.500
Cu 0.379 0.121 0.500
Cu 0.621 0.879 0.500
Cu 0.879 0.379 0.500
CELL_PARAMETERS angstrom
6.979 0.000 0.000
0.000 6.979 0.000
0.000 0.000 2.923
```

DFT formation energy (eV/atom): 0.24
Volume (Å³ per cell): 142.35